The following is a DFT calculation (PBE) of a relaxed BaHfMgPt crystal.

Summary:
Energy in eV per atom: -4.746
Distance to the lowest polymorph of the same formula in meV/atom: 86

Unit cell a=7.3585 b=7.3585 c=7.3585 alpha=90.00 beta=90.00 gamma=90.00
Last column: nearest neighbours and their distance in Å.
Space group F-43m (No. 216)
Asymmetric unit:
Ba: 0.0000 0.0000 0.0000  4 Mg 3.19, 4 Pt 3.19
Hf: 0.0000 0.0000 0.5000  4 Mg 3.19, 4 Pt 3.19
Mg: 0.2500 0.2500 0.7500  4 Hf 3.19, 4 Ba 3.19
Pt: 0.2500 0.2500 0.2500  4 Hf 3.19, 4 Ba 3.19